## La3CuRh (PBE-GGA)

Data for an optimized crystal structure of La3CuRh.

## Properties
- Symmetry: Pm-3m, No. 221
- DOS at the Fermi energy: 1.347 states/eV per atom
- E_tot: -5.294 eV/atom
- DFT formation energy: -0.048 eV per atom
- Magnetization: 0.00 μB per cell

a b c (Å): 5.535 5.535 5.535
angles (deg): 90.00 90.00 90.00
Fractional coordinates of all 5 atoms:
Rh 0.000 0.000 0.000
Cu 0.500 0.500 0.500
La 0.000 0.500 0.000
La 0.000 0.000 0.500
La 0.500 0.000 0.000


## ZnCo2Pt (PBE-GGA)

Data for an optimized crystal structure of ZnCo2Pt.

## Properties
- Symmetry: I-4m2, No. 119
- DOS at the Fermi energy: 1.463 states/eV per atom
- E_tot: -5.496 eV/atom
- DFT formation energy: -0.114 eV per atom
- Magnetization: 3.48 μB per cell

a b c (Å): 4.509 4.509 4.509
angles (deg): 130.63 130.60 72.42
Fractional coordinates of all 4 atoms:
Co 0.000 0.000 0.000
Co 0.750 0.250 0.500
Pt 0.500 0.500 0.000
Zn 0.250 0.750 0.500


## TlReRh2 (PBE-GGA)

Data for an optimized crystal structure of TlReRh2.

## Properties
- Symmetry: R-3m, No. 166
- DOS at the Fermi energy: 1.118 states/eV per atom
- E_tot: -7.116 eV/atom
- DFT formation energy: 0.263 eV per atom
- Magnetization: 0.00 μB per cell

a b c (Å): 9.257 9.257 9.257
angles (deg): 17.98 17.98 17.98
Fractional coordinates of all 4 atoms:
Tl 0.500 0.500 0.500
Re 0.000 0.000 0.000
Rh 0.743 0.743 0.743
Rh 0.257 0.257 0.257


## CsAlHg2Se (PBE-GGA)

Data for an optimized crystal structure of CsAlHg2Se.

## Properties
- Symmetry: P4/mmm, No. 123
- DOS at the Fermi energy: 0.267 states/eV per atom
- E_tot: -2.119 eV/atom
- Magnetization: 0.00 μB per cell

a b c (Å): 5.470 5.470 5.313
angles (deg): 90.00 90.00 90.00
Fractional coordinates of all 5 atoms:
Cs 0.500 0.500 0.500
Hg 0.000 0.500 0.000
Hg 0.500 0.000 0.000
Se 0.000 0.000 0.500
Al 0.000 0.000 0.000


## SmZr3Ir2 (PBE-GGA)

Data for an optimized crystal structure of SmZr3Ir2.

## Properties
- Symmetry: C2/m, No. 12
- DOS at the Fermi energy: 0.775 states/eV per atom
- E_tot: -8.564 eV/atom
- DFT formation energy: -0.549 eV per atom
- Magnetization: 0.00 μB per cell

a b c (Å): 4.741 8.523 7.973
angles (deg): 117.43 90.00 106.15
Fractional coordinates of all 12 atoms:
Sm 0.846 0.692 0.937
Sm 0.154 0.308 0.063
Zr 0.303 0.607 0.584
Zr 0.947 0.894 0.624
Zr 0.598 0.197 0.687
Zr 0.402 0.803 0.313
Zr 0.053 0.106 0.376
Zr 0.697 0.393 0.416
Ir 0.481 0.962 0.825
Ir 0.519 0.038 0.175
Ir 0.807 0.613 0.260
Ir 0.193 0.387 0.740


## CuSBrCl2 (PBE-GGA)

Data for an optimized crystal structure of CuSBrCl2.

## Properties
- Symmetry: P4/mmm, No. 123
- DOS at the Fermi energy: 1.612 states/eV per atom
- E_tot: -1.921 eV/atom
- Magnetization: 0.33 μB per cell

a b c (Å): 5.183 5.183 4.896
angles (deg): 90.00 90.00 90.00
Fractional coordinates of all 5 atoms:
S 0.000 0.000 0.500
Cu 0.500 0.500 0.500
Br 0.000 0.000 0.000
Cl 0.000 0.500 0.000
Cl 0.500 0.000 0.000


## BaMg2Ga2Hg2 (PBE-GGA)

Data for an optimized crystal structure of BaMg2Ga2Hg2.

## Properties
- Symmetry: R-3m, No. 166
- DOS at the Fermi energy: 0.370 states/eV per atom
- E_tot: -1.985 eV/atom
- DFT formation energy: -0.303 eV per atom
- Magnetization: 0.00 μB per cell

a b c (Å): 4.710 4.710 9.562
angles (deg): 75.74 75.74 60.00
Fractional coordinates of all 7 atoms:
Ba 0.000 0.000 0.000
Mg 0.140 0.140 0.580
Mg 0.860 0.860 0.420
Ga 0.750 0.750 0.751
Ga 0.250 0.250 0.249
Hg 0.570 0.570 0.291
Hg 0.430 0.430 0.709